This record from Alexandria describes a relaxed structure of Dy2Cu2Hg. The functional is PBE.

Values from the calculation:
electronic total energy	-3.90	eV per atom
size of the total moment	0.0	μB per cell
SG	Cmmm, No. 65
D(E_F)	2.9	states/eV/cell
energy of formation from the pure elements	-8.39	kcal/mol of atoms

Cell: 7.3280 7.3280 3.6240 Å, 90.00 90.00 146.95°
Sites, in units of the cell vectors:
Dy (0.1325, 0.8675, 0.0000)
Dy (0.8675, 0.1325, 0.0000)
Cu (0.2983, 0.7017, 0.5000)
Cu (0.7017, 0.2983, 0.5000)
Hg (0.5000, 0.5000, 0.5000)